[1]
{"formula": "TaGa2BF", "functional": "meta-GGA SCAN", "state": "single point on PBEsol structure", "formation_energy_uncorrected_mev_per_atom": 679, "sg": "P4/mmm", "cell": [[5.177, 0.000, 0.000], [0.000, 5.177, 0.000], [0.000, 0.000, 4.056]], "species": ["Ta", "Ga", "Ga", "B", "F"], "frac_coords": [[0.000, 0.000, 0.000], [0.000, 0.500, 0.000], [0.500, 0.000, 0.000], [0.000, 0.000, 0.500], [0.500, 0.500, 0.500]]}

=====

[2]
{"formula": "CsTeAsN2", "functional": "meta-GGA SCAN", "state": "single point on PBEsol structure", "formation_energy_uncorrected_mev_per_atom": 2335, "sg": "P4/mmm", "cell": [[4.281, 0.000, 0.000], [0.000, 4.281, 0.000], [0.000, 0.000, 7.237]], "species": ["Cs", "Te", "As", "N", "N"], "frac_coords": [[0.000, 0.000, 0.000], [0.000, 0.000, 0.500], [0.500, 0.500, 0.500], [0.000, 0.500, 0.000], [0.500, 0.000, 0.000]]}

=====

[3]
{"formula": "Ca2TaAs", "functional": "meta-GGA SCAN", "state": "single point on PBEsol structure", "ef_mev_per_atom": 457, "sg": "F-43m", "cell": [[6.930, 0.000, 0.000], [0.000, 6.930, 0.000], [0.000, 0.000, 6.930]], "species": ["Ca", "Ca", "Ca", "Ca", "Ca", "Ca", "Ca", "Ca", "Ta", "Ta", "Ta", "Ta", "As", "As", "As", "As"], "frac_coords": [[0.000, 0.000, 0.000], [0.000, 0.500, 0.500], [0.250, 0.250, 0.250], [0.250, 0.750, 0.750], [0.500, 0.000, 0.500], [0.500, 0.500, 0.000], [0.750, 0.250, 0.750], [0.750, 0.750, 0.250], [0.250, 0.250, 0.750], [0.250, 0.750, 0.250], [0.750, 0.250, 0.250], [0.750, 0.750, 0.750], [0.000, 0.000, 0.500], [0.000, 0.500, 0.000], [0.500, 0.000, 0.000], [0.500, 0.500, 0.500]]}

=====

[4]
{"formula": "Y3Se", "functional": "meta-GGA SCAN", "state": "single point on PBEsol structure", "formation_energy_uncorrected_mev_per_atom": -920, "sg": "P-6m2", "relative_energy_ev_per_atom": 0.036, "cell": [[3.685, 0.000, 0.000], [-1.842, 3.191, 0.000], [0.000, 0.000, 9.527]], "species": ["Y", "Y", "Y", "Se"], "frac_coords": [[0.000, 0.000, 0.000], [0.333, 0.667, 0.297], [0.333, 0.667, 0.703], [0.000, 0.000, 0.500]]}

=====

[5]
{"formula": "K2FeOs", "functional": "meta-GGA SCAN", "state": "single point on PBEsol structure", "ef_mev_per_atom": 1251, "sg": "P2/m", "relative_energy_ev_per_atom": 0.509, "cell": [[2.652, 0.000, 0.000], [0.000, 5.634, 0.000], [-0.421, 0.000, 5.003]], "species": ["K", "K", "Fe", "Os"], "frac_coords": [[0.226, 0.000, 0.252], [0.774, 0.000, 0.748], [0.000, 0.500, 0.500], [0.500, 0.500, 0.000]]}

=====

[6]
{"formula": "NbPb3Se", "functional": "meta-GGA SCAN", "state": "single point on PBEsol structure", "formation_energy_uncorrected_mev_per_atom": 441, "sg": "Pm-3m", "cell": [[5.427, 0.000, 0.000], [0.000, 5.427, 0.000], [0.000, 0.000, 5.427]], "species": ["Nb", "Pb", "Pb", "Pb", "Se"], "frac_coords": [[0.000, 0.000, 0.000], [0.000, 0.000, 0.500], [0.000, 0.500, 0.000], [0.500, 0.000, 0.000], [0.500, 0.500, 0.500]]}

=====

[7]
{"formula": "CoAs2Au", "functional": "meta-GGA SCAN", "state": "single point on PBEsol structure", "ef_mev_per_atom": 91, "sg": "Pmm2", "relative_energy_ev_per_atom": 0.005, "cell": [[2.883, 0.000, 0.000], [0.000, 2.934, 0.000], [0.000, 0.000, 7.820]], "species": ["Co", "As", "As", "Au"], "frac_coords": [[0.000, 0.000, 0.000], [0.000, 0.000, 0.290], [0.500, 0.500, 0.854], [0.500, 0.500, 0.533]]}

=====

[8]
{"formula": "ZrTcMo2", "functional": "meta-GGA SCAN", "state": "single point on PBEsol structure", "ef_mev_per_atom": -121, "sg": "Pmmm", "relative_energy_ev_per_atom": 0.025, "cell": [[3.176, 0.000, 0.000], [0.000, 4.446, 0.000], [0.000, 0.000, 4.557]], "species": ["Zr", "Tc", "Mo", "Mo"], "frac_coords": [[0.000, 0.000, 0.000], [0.500, 0.500, 0.000], [0.000, 0.500, 0.500], [0.500, 0.000, 0.500]]}

=====

[9]
{"formula": "AlInRh2", "functional": "meta-GGA SCAN", "state": "single point on PBEsol structure", "ef_mev_per_atom": -777, "sg": "P4/mmm", "cell": [[4.288, 0.000, 0.000], [0.000, 4.288, 0.000], [0.000, 0.000, 3.212]], "species": ["Al", "In", "Rh", "Rh"], "frac_coords": [[0.000, 0.000, 0.000], [0.500, 0.500, 0.000], [0.000, 0.500, 0.500], [0.500, 0.000, 0.500]]}

=====

[10]
{"formula": "Fe3Co2", "functional": "meta-GGA SCAN", "state": "single point on PBEsol structure", "ef_mev_per_atom": -121, "sg": "Fmmm", "relative_energy_ev_per_atom": 0.001, "cell": [[0.000, 1.985, 9.869], [1.390, 0.000, 9.869], [1.390, 1.985, 0.000]], "species": ["Fe", "Fe", "Fe", "Co", "Co"], "frac_coords": [[0.000, 0.000, 0.000], [0.200, 0.200, 0.800], [0.800, 0.800, 0.200], [0.400, 0.400, 0.600], [0.600, 0.600, 0.400]]}

=====

[11]
{"formula": "YRhW2", "functional": "meta-GGA SCAN", "state": "single point on PBEsol structure", "ef_mev_per_atom": 214, "sg": "Cmm2", "relative_energy_ev_per_atom": 0.166, "cell": [[3.548, 0.000, 0.000], [0.000, 4.473, 0.000], [0.000, 0.000, 8.642]], "species": ["Y", "Y", "Rh", "Rh", "W", "W", "W", "W"], "frac_coords": [[0.000, 0.000, 0.000], [0.500, 0.500, 0.000], [0.000, 0.500, 0.742], [0.500, 0.000, 0.742], [0.000, 0.000, 0.528], [0.000, 0.500, 0.288], [0.500, 0.000, 0.288], [0.500, 0.500, 0.528]]}

=====

[12]
{"formula": "Y2TlF2", "functional": "meta-GGA SCAN", "state": "single point on PBEsol structure", "formation_energy_uncorrected_mev_per_atom": -2629, "sg": "I4/mmm", "cell": [[3.704, 0.000, 0.000], [0.000, 3.704, 0.000], [0.000, 0.000, 13.375]], "species": ["Y", "Y", "Y", "Y", "Tl", "Tl", "F", "F", "F", "F"], "frac_coords": [[0.000, 0.000, 0.138], [0.000, 0.000, 0.862], [0.500, 0.500, 0.362], [0.500, 0.500, 0.638], [0.000, 0.000, 0.500], [0.500, 0.500, 0.000], [0.000, 0.500, 0.250], [0.000, 0.500, 0.750], [0.500, 0.000, 0.250], [0.500, 0.000, 0.750]]}

=====

[13]
{"formula": "AlCrIn2", "functional": "meta-GGA SCAN", "state": "single point on PBEsol structure", "ef_mev_per_atom": 156, "sg": "C2/m", "cell": [[9.458, 0.000, 0.000], [0.000, 3.250, 0.000], [-0.919, 0.000, 4.955]], "species": ["Al", "Al", "Cr", "Cr", "In", "In", "In", "In"], "frac_coords": [[0.000, 0.000, 0.000], [0.500, 0.500, 0.000], [0.000, 0.500, 0.500], [0.500, 0.000, 0.500], [0.246, 0.000, 0.744], [0.254, 0.500, 0.256], [0.746, 0.500, 0.744], [0.754, 0.000, 0.256]]}

=====

[14]
{"formula": "Ba3IrW", "functional": "meta-GGA SCAN", "state": "single point on PBEsol structure", "ef_mev_per_atom": 1562, "sg": "Pm-3m", "cell": [[5.630, 0.000, 0.000], [0.000, 5.630, 0.000], [0.000, 0.000, 5.630]], "species": ["Ba", "Ba", "Ba", "Ir", "W"], "frac_coords": [[0.000, 0.000, 0.500], [0.000, 0.500, 0.000], [0.500, 0.000, 0.000], [0.500, 0.500, 0.500], [0.000, 0.000, 0.000]]}

=====

[15]
{"formula": "Lu4Ge6Ru7", "functional": "meta-GGA SCAN", "state": "single point on PBEsol structure", "ef_mev_per_atom": -757, "sg": "Im-3m", "cell": [[-4.083, 4.083, 4.083], [4.083, -4.083, 4.083], [4.083, 4.083, -4.083]], "species": ["Lu", "Lu", "Lu", "Lu", "Ge", "Ge", "Ge", "Ge", "Ge", "Ge", "Ru", "Ru", "Ru", "Ru", "Ru", "Ru", "Ru"], "frac_coords": [[0.000, 0.000, 0.500], [0.000, 0.500, 0.000], [0.500, 0.000, 0.000], [0.500, 0.500, 0.500], [0.000, 0.312, 0.312], [0.000, 0.688, 0.688], [0.312, 0.000, 0.312], [0.312, 0.312, 0.000], [0.688, 0.000, 0.688], [0.688, 0.688, 0.000], [0.000, 0.000, 0.000], [0.250, 0.500, 0.750], [0.250, 0.750, 0.500], [0.500, 0.250, 0.750], [0.500, 0.750, 0.250], [0.750, 0.250, 0.500], [0.750, 0.500, 0.250]]}

=====

[16]
{"formula": "TlCrAg2Sb", "functional": "meta-GGA SCAN", "state": "single point on PBEsol structure", "formation_energy_uncorrected_mev_per_atom": 972, "sg": "P4/mmm", "cell": [[5.086, 0.000, 0.000], [0.000, 5.086, 0.000], [0.000, 0.000, 5.603]], "species": ["Tl", "Cr", "Ag", "Ag", "Sb"], "frac_coords": [[0.000, 0.000, 0.000], [0.500, 0.500, 0.500], [0.000, 0.500, 0.000], [0.500, 0.000, 0.000], [0.000, 0.000, 0.500]]}

=====

[17]
{"formula": "ScTlAg2", "functional": "meta-GGA SCAN", "state": "single point on PBEsol structure", "ef_mev_per_atom": 35, "sg": "R-3m", "cell": [[3.197, 0.000, 0.000], [-1.599, 2.769, 0.000], [0.000, 0.000, 28.016]], "species": ["Sc", "Sc", "Sc", "Tl", "Tl", "Tl", "Ag", "Ag", "Ag", "Ag", "Ag", "Ag"], "frac_coords": [[0.000, 0.000, 0.000], [0.333, 0.667, 0.667], [0.667, 0.333, 0.333], [0.000, 0.000, 0.500], [0.333, 0.667, 0.167], [0.667, 0.333, 0.833], [0.000, 0.000, 0.254], [0.000, 0.000, 0.746], [0.333, 0.667, 0.412], [0.333, 0.667, 0.921], [0.667, 0.333, 0.079], [0.667, 0.333, 0.588]]}

=====

[18]
{"formula": "BeAg2Ru", "functional": "meta-GGA SCAN", "state": "single point on PBEsol structure", "ef_mev_per_atom": 476, "sg": "Pmmm", "cell": [[2.640, 0.000, 0.000], [0.000, 3.963, 0.000], [0.000, 0.000, 5.355]], "species": ["Be", "Ag", "Ag", "Ru"], "frac_coords": [[0.000, 0.000, 0.000], [0.500, 0.500, 0.242], [0.500, 0.500, 0.758], [0.000, 0.000, 0.500]]}

=====

[19]
{"formula": "Er2Se3", "functional": "meta-GGA SCAN", "state": "single point on PBEsol structure", "formation_energy_uncorrected_mev_per_atom": -2037, "sg": "P-4m2", "cell": [[3.876, 0.000, 0.000], [0.000, 3.876, 0.000], [0.000, 0.000, 7.939]], "species": ["Er", "Er", "Se", "Se", "Se"], "frac_coords": [[0.000, 0.500, 0.239], [0.500, 0.000, 0.761], [0.000, 0.500, 0.867], [0.500, 0.000, 0.133], [0.500, 0.500, 0.500]]}

=====

[20]
{"formula": "ErCu4Pd", "functional": "meta-GGA SCAN", "state": "single point on PBEsol structure", "ef_mev_per_atom": -402, "sg": "F-43m", "cell": [[0.000, 3.458, 3.458], [3.458, 0.000, 3.458], [3.458, 3.458, 0.000]], "species": ["Er", "Cu", "Cu", "Cu", "Cu", "Pd"], "frac_coords": [[0.000, 0.000, 0.000], [0.376, 0.376, 0.376], [0.376, 0.376, 0.873], [0.376, 0.873, 0.376], [0.873, 0.376, 0.376], [0.750, 0.750, 0.750]]}

=====

[21]
{"formula": "LiCu2Pt", "functional": "meta-GGA SCAN", "state": "single point on PBEsol structure", "ef_mev_per_atom": -235, "sg": "Pmm2", "relative_energy_ev_per_atom": 0.067, "cell": [[2.653, 0.000, 0.000], [0.000, 3.634, 0.000], [0.000, 0.000, 5.156]], "species": ["Li", "Cu", "Cu", "Pt"], "frac_coords": [[0.000, 0.000, 0.000], [0.000, 0.000, 0.507], [0.500, 0.500, 0.744], [0.500, 0.500, 0.245]]}

=====

[22]
{"formula": "Li2CuPt", "functional": "meta-GGA SCAN", "state": "single point on PBEsol structure", "ef_mev_per_atom": -374, "sg": "Cmmm", "relative_energy_ev_per_atom": 0.053, "cell": [[5.133, 0.000, 0.000], [0.000, 7.371, 0.000], [0.000, 0.000, 2.693]], "species": ["Li", "Li", "Li", "Li", "Cu", "Cu", "Pt", "Pt"], "frac_coords": [[0.250, 0.250, 0.000], [0.250, 0.750, 0.000], [0.750, 0.250, 0.000], [0.750, 0.750, 0.000], [0.000, 0.000, 0.500], [0.500, 0.500, 0.500], [0.000, 0.500, 0.500], [0.500, 0.000, 0.500]]}

=====

[23]
{"formula": "Ni3GeP", "functional": "meta-GGA SCAN", "state": "single point on PBEsol structure", "ef_mev_per_atom": 154, "sg": "Pm-3m", "cell": [[4.136, 0.000, 0.000], [0.000, 4.136, 0.000], [0.000, 0.000, 4.136]], "species": ["Ni", "Ni", "Ni", "Ge", "P"], "frac_coords": [[0.000, 0.000, 0.500], [0.000, 0.500, 0.000], [0.500, 0.000, 0.000], [0.500, 0.500, 0.500], [0.000, 0.000, 0.000]]}

=====

[24]
{"formula": "ZnBr", "functional": "meta-GGA SCAN", "state": "single point on PBEsol structure", "formation_energy_uncorrected_mev_per_atom": 56, "sg": "R-3m", "cell": [[4.316, 0.000, 0.000], [-2.158, 3.737, 0.000], [0.000, 0.000, 17.897]], "species": ["Zn", "Zn", "Zn", "Zn", "Zn", "Zn", "Br", "Br", "Br", "Br", "Br", "Br"], "frac_coords": [[0.000, 0.000, 0.167], [0.000, 0.000, 0.833], [0.333, 0.667, 0.500], [0.333, 0.667, 0.833], [0.667, 0.333, 0.167], [0.667, 0.333, 0.500], [0.000, 0.000, 0.403], [0.000, 0.000, 0.597], [0.333, 0.667, 0.070], [0.333, 0.667, 0.263], [0.667, 0.333, 0.737], [0.667, 0.333, 0.930]]}

=====

[25]
{"formula": "YNi3Ag", "functional": "meta-GGA SCAN", "state": "single point on PBEsol structure", "ef_mev_per_atom": 1438, "sg": "Pm-3m", "cell": [[4.536, 0.000, 0.000], [0.000, 4.536, 0.000], [0.000, 0.000, 4.536]], "species": ["Y", "Ni", "Ni", "Ni", "Ag"], "frac_coords": [[0.000, 0.000, 0.000], [0.000, 0.000, 0.500], [0.000, 0.500, 0.000], [0.500, 0.000, 0.000], [0.500, 0.500, 0.500]]}

=====

[26]
{"formula": "LaMg2Mo", "functional": "meta-GGA SCAN", "state": "single point on PBEsol structure", "ef_mev_per_atom": 379, "sg": "Cmm2", "relative_energy_ev_per_atom": 0.034, "cell": [[3.470, 0.000, 0.000], [0.000, 5.030, 0.000], [0.000, 0.000, 10.068]], "species": ["La", "La", "Mg", "Mg", "Mg", "Mg", "Mo", "Mo"], "frac_coords": [[0.000, 0.000, 0.000], [0.500, 0.500, 0.000], [0.000, 0.000, 0.439], [0.000, 0.500, 0.698], [0.500, 0.000, 0.698], [0.500, 0.500, 0.439], [0.000, 0.500, 0.223], [0.500, 0.000, 0.223]]}

=====

[27]
{"formula": "Fe2HgP", "functional": "meta-GGA SCAN", "state": "single point on PBEsol structure", "ef_mev_per_atom": 265, "sg": "Pm", "cell": [[2.855, 0.000, 0.000], [0.000, 4.059, 0.000], [-1.416, 0.000, 4.934]], "species": ["Fe", "Fe", "Hg", "P"], "frac_coords": [[0.000, 0.000, 0.000], [0.395, 0.500, 0.794], [0.655, 0.500, 0.310], [0.331, 0.000, 0.658]]}

=====

[28]
{"formula": "CdCuTc3", "functional": "meta-GGA SCAN", "state": "single point on PBEsol structure", "ef_mev_per_atom": 2862, "sg": "Pm-3m", "cell": [[4.744, 0.000, 0.000], [0.000, 4.744, 0.000], [0.000, 0.000, 4.744]], "species": ["Cd", "Cu", "Tc", "Tc", "Tc"], "frac_coords": [[0.000, 0.000, 0.000], [0.500, 0.500, 0.500], [0.000, 0.000, 0.500], [0.000, 0.500, 0.000], [0.500, 0.000, 0.000]]}

=====

[29]
{"formula": "K2AlP", "functional": "meta-GGA SCAN", "state": "single point on PBEsol structure", "ef_mev_per_atom": 221, "sg": "P4/mmm", "relative_energy_ev_per_atom": 0.000, "cell": [[3.077, 0.000, 0.000], [0.000, 3.077, 0.000], [0.000, 0.000, 10.740]], "species": ["K", "K", "Al", "P"], "frac_coords": [[0.000, 0.000, 0.215], [0.000, 0.000, 0.785], [0.500, 0.500, 0.500], [0.500, 0.500, 0.000]]}

=====

In order of appearance, V = 108.74; 132.65; 332.79; 112.01; 74.77; 159.84; 66.14; 64.36; 59.06; 54.44; 137.15; 183.49; 152.31; 178.48; 272.30; 144.92; 248.00; 56.01; 119.27; 82.70; 49.70; 101.88; 70.76; 288.66; 93.34; 175.71; 57.17; 106.78; 101.71 Å³/cell.
In order of appearance, total magnetic moment = 0.00; 2.71; 0.00; 0.91; 2.88; 2.16; 0.39; 0.00; 0.00; 11.70; 0.00; 0.00; 3.79; 0.57; 0.00; 4.76; 0.00; 0.00; 0.00; 0.00; 0.00; 0.00; 0.00; 0.00; 0.00; 0.57; 4.54; 9.27; 0.00 μB per formula unit.